La5Tb3Tm after structural relaxation. Source: Alexandria via LeMat-Bulk, functional PBE-GGA.

POSCAR file:
```
La5Tb3Tm
1.0
-2.813 -5.947 -5.915
6.690 -3.380 6.833
-11.752 5.061 0.501
Tb La Tm
6 10 2
Direct
0.705 0.146 0.637
0.295 0.854 0.363
0.560 0.854 0.863
0.440 0.146 0.137
0.000 0.000 0.000
0.000 0.000 0.500
0.289 0.000 0.750
0.785 0.423 0.031
0.930 0.465 0.314
0.637 0.423 0.531
0.535 0.465 0.814
0.070 0.535 0.686
0.363 0.577 0.469
0.465 0.535 0.186
0.711 0.000 0.250
0.215 0.577 0.969
0.882 0.000 0.750
0.118 0.000 0.250
```

For the calculated volume, the calculation gives 634.17 Å³/cell. The total moment is 0.000 μB/f.u. The calculation puts the energy above the most stable polymorph in this dataset at 0.00 kJ per mole of atoms. The formation energy from the elements comes out at 0.15 eV per atom.